Density functional theory data (PBE) for an optimized crystal structure of Tb3PmHo3Se8.

Cell: 8.138 8.138 8.138 Å, 59.98 59.98 59.98°
Fractional positions:
Tb  0.000  0.500  0.500
Tb  0.500  0.000  0.500
Tb  0.500  0.500  0.000
Pm  0.500  0.500  0.500
Ho  0.000  0.000  0.500
Ho  0.000  0.500  0.000
Ho  0.500  0.000  0.000
Se  0.239  0.759  0.759
Se  0.241  0.241  0.761
Se  0.241  0.761  0.241
Se  0.249  0.249  0.249
Se  0.751  0.751  0.751
Se  0.759  0.239  0.759
Se  0.759  0.759  0.239
Se  0.761  0.241  0.241

uncorrected formation energy: -1.830 eV/atom

=====

Density functional theory data (PBE) for an optimized crystal structure of SmGa2Sb.

Cell: 4.584 4.584 4.392 Å, 90.00 90.00 90.00°
Fractional positions:
Sm  0.000  0.000  0.000
Ga  0.000  0.500  0.500
Ga  0.500  0.000  0.500
Sb  0.500  0.500  0.000

uncorrected formation energy: -0.538 eV/atom

=====

Density functional theory data (PBE) for an optimized crystal structure of TbThMo.

Cell: 8.116 8.116 6.095 Å, 103.63 103.63 25.06°
Fractional positions:
Tb  0.068  0.068  0.293
Tb  0.932  0.932  0.707
Th  0.355  0.355  0.159
Th  0.645  0.645  0.841
Mo  0.264  0.264  0.650
Mo  0.736  0.736  0.350

formation enthalpy at 0 K: 0.188 eV per atom

=====

Density functional theory data (PBE) for an optimized crystal structure of ScUOs2.

Cell: 4.666 4.666 3.322 Å, 90.00 90.00 90.00°
Fractional positions:
Sc  0.000  0.000  0.000
U  0.500  0.500  0.000
Os  0.000  0.500  0.500
Os  0.500  0.000  0.500

formation enthalpy at 0 K: -0.263 eV per atom

=====

Density functional theory data (PBE) for an optimized crystal structure of SrPmGa6.

Cell: 4.460 6.347 6.186 Å, 90.00 90.00 90.00°
Fractional positions:
Sr  0.000  0.000  0.000
Pm  0.500  0.500  0.222
Ga  0.000  0.266  0.473
Ga  0.000  0.500  0.863
Ga  0.000  0.734  0.473
Ga  0.500  0.000  0.399
Ga  0.500  0.269  0.744
Ga  0.500  0.731  0.744

formation enthalpy at 0 K: -0.425 eV per atom

=====

Density functional theory data (PBE) for an optimized crystal structure of TaRe2Ag.

Cell: 9.949 9.949 9.949 Å, 16.08 16.08 16.08°
Fractional positions:
Ta  0.000  0.000  0.000
Re  0.250  0.250  0.250
Re  0.750  0.750  0.750
Ag  0.500  0.500  0.500

formation enthalpy at 0 K: 0.404 eV per atom

=====

Density functional theory data (PBE) for an optimized crystal structure of LiFeIr.

Cell: 4.498 4.498 4.498 Å, 146.45 128.07 63.25°
Fractional positions:
Li  0.000  0.000  0.000
Fe  0.674  0.674  0.000
Ir  0.332  0.332  0.000

formation enthalpy at 0 K: 0.019 eV per atom

=====

Density functional theory data (PBE) for an optimized crystal structure of Fe2CoRu.

Cell: 8.690 8.690 8.690 Å, 156.94 156.94 32.84°
Fractional positions:
Fe  0.104  0.625  0.979
Fe  0.375  0.354  0.479
Fe  0.646  0.125  0.021
Fe  0.875  0.896  0.521
Co  0.000  0.000  0.000
Co  0.750  0.250  0.500
Ru  0.250  0.750  0.500
Ru  0.500  0.500  0.000

formation enthalpy at 0 K: 0.592 eV per atom

=====

Density functional theory data (PBE) for an optimized crystal structure of InIrBr2.

Cell: 3.690 3.690 9.282 Å, 90.00 90.00 121.46°
Fractional positions:
In  0.000  0.000  0.000
Ir  0.000  0.000  0.500
Br  0.500  0.500  0.317
Br  0.500  0.500  0.683

uncorrected formation energy: 0.324 eV/atom

=====

| no. | theoretical density (g/cm³) | E_tot (eV per atom) |
| --- | --- | --- |
| 1 | 7.6 | -5.85 |
| 2 | 7.4 | -4.26 |
| 3 | 9.8 | -7.44 |
| 4 | 15.2 | -10.28 |
| 5 | 6.2 | -3.50 |
| 6 | 16.7 | -9.50 |
| 7 | 10.8 | -6.39 |
| 8 | 9.0 | -7.73 |
| 9 | 7.2 | -3.41 |